[1]
Material: PrYAu
Method: DFT, PBE-GGA
State: optimized geometry

Cell: 4.959 4.959 4.022 Å, 90.00 90.00 120.00°
Sites, in units of the cell vectors:
1 Pr 0.000 0.000 0.000
2 Y 0.333 0.667 0.472
3 Au 0.667 0.333 0.659

DOS at the Fermi energy = 2.58 states/eV/cell
V = 85.7 Å³/f.u.
total magnetization = 0.000 μB per atom
ΔE_f = -37 kJ per mole of atoms
density = 8.27 g cm⁻³

[2]
Material: PrYAu2
Method: DFT, PBE-GGA
State: optimized geometry

Cell: 3.642 3.642 7.472 Å, 90.00 90.00 90.00°
Sites, in units of the cell vectors:
1 Pr 0.000 0.000 0.000
2 Y 0.000 0.000 0.500
3 Au 0.500 0.500 0.272
4 Au 0.500 0.500 0.728

DOS at the Fermi energy = 2.06 states/eV/cell
V = 99.1 Å³/f.u.
total magnetization = 0.000 μB per atom
ΔE_f = -78 kJ per mole of atoms
density = 10.45 g cm⁻³

[3]
Material: Pr2YAu2
Method: DFT, PBE-GGA
State: optimized geometry

Cell: 6.429 6.429 6.429 Å, 143.52 112.09 79.62°
Sites, in units of the cell vectors:
1 Pr 0.198 0.198 0.000
2 Pr 0.802 0.802 0.000
3 Y 0.500 0.000 0.500
4 Au 0.207 0.500 0.707
5 Au 0.793 0.500 0.293

DOS at the Fermi energy = 6.69 states/eV/cell
V = 142.7 Å³/f.u.
total magnetization = 0.000 μB per atom
ΔE_f = -58 kJ per mole of atoms
density = 8.90 g cm⁻³

[4]
Material: PrYAu6
Method: DFT, PBE-GGA
State: optimized geometry

Cell: 5.002 5.002 8.948 Å, 110.91 110.91 56.81°
Sites, in units of the cell vectors:
1 Pr 0.000 0.000 0.000
2 Y 0.500 0.500 0.500
3 Au 0.129 0.129 0.379
4 Au 0.246 0.246 0.748
5 Au 0.382 0.382 0.140
6 Au 0.618 0.618 0.860
7 Au 0.754 0.754 0.252
8 Au 0.871 0.871 0.621

DOS at the Fermi energy = 2.85 states/eV/cell
V = 171.3 Å³/f.u.
total magnetization = 0.000 μB per atom
ΔE_f = -62 kJ per mole of atoms
density = 13.69 g cm⁻³

[5]
Material: PrY4Au5
Method: DFT, PBE-GGA
State: optimized geometry

Cell: 3.604 3.604 18.470 Å, 90.00 90.00 90.00°
Sites, in units of the cell vectors:
1 Pr 0.000 0.000 0.000
2 Y 0.000 0.000 0.204
3 Y 0.000 0.000 0.401
4 Y 0.000 0.000 0.599
5 Y 0.000 0.000 0.796
6 Au 0.500 0.500 0.111
7 Au 0.500 0.500 0.303
8 Au 0.500 0.500 0.500
9 Au 0.500 0.500 0.697
10 Au 0.500 0.500 0.889

DOS at the Fermi energy = 4.37 states/eV/cell
V = 239.9 Å³/f.u.
total magnetization = 0.000 μB per atom
ΔE_f = -81 kJ per mole of atoms
density = 10.26 g cm⁻³

[6]
Material: PrYAu4
Method: DFT, PBE-GGA
State: optimized geometry

Cell: 3.819 5.315 7.647 Å, 70.01 75.68 69.18°
Sites, in units of the cell vectors:
1 Pr 0.000 0.000 0.000
2 Y 0.000 0.500 0.500
3 Au 0.334 0.993 0.341
4 Au 0.339 0.507 0.819
5 Au 0.661 0.493 0.181
6 Au 0.666 0.007 0.659

DOS at the Fermi energy = 2.83 states/eV/cell
V = 134.9 Å³/f.u.
total magnetization = 0.000 μB per atom
ΔE_f = -77 kJ per mole of atoms
density = 12.52 g cm⁻³

[7]
Material: Pr2Y3Au4
Method: DFT, PBE-GGA
State: optimized geometry

Cell: 9.632 9.632 7.569 Å, 90.00 90.00 136.64°
Sites, in units of the cell vectors:
1 Pr 0.096 0.904 0.921
2 Pr 0.404 0.596 0.421
3 Pr 0.596 0.404 0.579
4 Pr 0.904 0.096 0.079
5 Y 0.000 0.000 0.500
6 Y 0.013 0.487 0.750
7 Y 0.487 0.013 0.250
8 Y 0.500 0.500 0.000
9 Y 0.513 0.987 0.750
10 Y 0.987 0.513 0.250
11 Au 0.168 0.832 0.529
12 Au 0.182 0.318 0.750
13 Au 0.318 0.182 0.250
14 Au 0.332 0.668 0.029
15 Au 0.668 0.332 0.971
16 Au 0.682 0.818 0.750
17 Au 0.818 0.682 0.250
18 Au 0.832 0.168 0.471

DOS at the Fermi energy = 20.09 states/eV/cell
V = 241.1 Å³/f.u.
total magnetization = 0.000 μB per atom
ΔE_f = -65 kJ per mole of atoms
density = 9.21 g cm⁻³

[8]
Material: PrYAu2
Method: DFT, PBE-GGA
State: optimized geometry

Cell: 3.836 4.764 5.940 Å, 90.00 108.97 90.00°
Sites, in units of the cell vectors:
1 Pr 0.000 0.000 0.000
2 Y 0.277 0.500 0.553
3 Au 0.554 0.500 0.107
4 Au 0.728 0.000 0.454

DOS at the Fermi energy = 2.56 states/eV/cell
V = 102.7 Å³/f.u.
total magnetization = 0.000 μB per atom
ΔE_f = -79 kJ per mole of atoms
density = 10.09 g cm⁻³

Copy entry 1 word for word.
Material: PrYAu
Method: DFT, PBE-GGA
State: optimized geometry

Cell: 4.959 4.959 4.022 Å, 90.00 90.00 120.00°
Sites, in units of the cell vectors:
1 Pr 0.000 0.000 0.000
2 Y 0.333 0.667 0.472
3 Au 0.667 0.333 0.659

DOS at the Fermi energy = 2.58 states/eV/cell
V = 85.7 Å³/f.u.
total magnetization = 0.000 μB per atom
ΔE_f = -37 kJ per mole of atoms
density = 8.27 g cm⁻³

Which value of DOS at the Fermi energy does entry 8 give? 2.56 states/eV/cell

Which of these has the highest density? PrYAu6